Compound: Na3Sc2FeO6
Source: the Alexandria database
Functional: PBE+U
Structure: relaxed

abc: 5.3830 9.3291 5.7341
angles: 90.00 108.17 90.00
Space group C2/m (No. 12)
Asymmetric unit:
Na1 0.0000 0.0000 0.0000
Na2 0.0000 0.3371 0.0000
Sc1 0.0000 0.1669 0.5000
Fe1 0.0000 0.5000 0.5000
O1 0.2278 0.3394 0.7022
O2 0.2462 0.0000 0.6997

calculated total energy = -6.61 eV/atom
Fermi-level density of states = 0.00 states/eV per atom
size of the total moment = 2.0 μB per cell